The following is a DFT calculation (GGA-PBE) of crystalline TbSmYTm2 at its relaxed geometry.

Cell and atoms, written as CIF:
```
data_TbSmYTm2
_chemical_formula_sum 'Tb4 Sm4 Y4 Tm8'
_cell_length_a 8.321
_cell_length_b 11.426
_cell_length_c 7.173
_cell_angle_alpha 90.00
_cell_angle_beta 90.00
_cell_angle_gamma 90.00
_space_group_name_H-M_alt 'C m c m'
_space_group_IT_number 63
_space_group_name_Hall '-C 2c 2'
loop_
_atom_site_label
_atom_site_type_symbol
_atom_site_fract_x
_atom_site_fract_y
_atom_site_fract_z
Tb1 Tb 0.000 0.011 0.250
Sm1 Sm 0.000 0.280 0.250
Y1 Y 0.000 0.272 0.750
Tm1 Tm 0.189 0.500 0.000
```

=====

The following is a DFT calculation (GGA-PBE) of crystalline Tb3SmYTm at its relaxed geometry.

Cell and atoms, written as CIF:
```
data_Tb3SmYTm
_chemical_formula_sum 'Tb12 Sm4 Y4 Tm4'
_cell_length_a 18.615
_cell_length_b 5.747
_cell_length_c 7.299
_cell_angle_alpha 90.00
_cell_angle_beta 90.44
_cell_angle_gamma 90.00
_space_group_name_H-M_alt 'C 1 2/m 1'
_space_group_IT_number 12
_space_group_name_Hall '-C 2y'
loop_
_atom_site_label
_atom_site_type_symbol
_atom_site_fract_x
_atom_site_fract_y
_atom_site_fract_z
Tb1 Tb 0.022 0.000 0.243
Tb2 Tb 0.170 0.500 0.244
Tb3 Tb 0.215 0.500 0.750
Sm1 Sm 0.040 0.500 0.753
Y1 Y 0.147 0.000 0.534
Tm1 Tm 0.149 0.000 0.960
```

=====

The following is a DFT calculation (GGA-PBE) of crystalline Tb3Sm2Y6Tm at its relaxed geometry.

Cell and atoms, written as CIF:
```
data_Tb3Sm2Y6Tm
_chemical_formula_sum 'Tb6 Sm4 Y12 Tm2'
_cell_length_a 6.186
_cell_length_b 10.705
_cell_length_c 11.829
_cell_angle_alpha 90.00
_cell_angle_beta 99.98
_cell_angle_gamma 90.00
_space_group_name_H-M_alt 'C 1 2/m 1'
_space_group_IT_number 12
_space_group_name_Hall '-C 2y'
loop_
_atom_site_label
_atom_site_type_symbol
_atom_site_fract_x
_atom_site_fract_y
_atom_site_fract_z
Tb1 Tb 0.000 0.000 0.000
Tb2 Tb 0.000 0.334 0.000
Sm1 Sm 0.000 0.167 0.500
Y1 Y 0.249 0.500 0.249
Y2 Y 0.250 0.166 0.249
Tm1 Tm 0.000 0.500 0.500
```

=====

The following is a DFT calculation (GGA-PBE) of crystalline TbSmY2Tm5 at its relaxed geometry.

Cell and atoms, written as CIF:
```
data_TbSmY2Tm5
_chemical_formula_sum 'Tb4 Sm4 Y8 Tm20'
_cell_length_a 5.571
_cell_length_b 19.577
_cell_length_c 10.558
_cell_angle_alpha 90.00
_cell_angle_beta 90.00
_cell_angle_gamma 90.00
_space_group_name_H-M_alt 'C m c 21'
_space_group_IT_number 36
_space_group_name_Hall 'C 2c -2'
loop_
_atom_site_label
_atom_site_type_symbol
_atom_site_fract_x
_atom_site_fract_y
_atom_site_fract_z
Tb1 Tb 0.000 0.202 0.000
Sm1 Sm 0.000 0.417 0.444
Y1 Y 0.000 0.110 0.724
Y2 Y 0.000 0.113 0.309
Tm1 Tm 0.000 0.019 0.016
Tm2 Tm 0.000 0.283 0.298
Tm3 Tm 0.000 0.299 0.698
Tm4 Tm 0.000 0.391 0.011
Tm5 Tm 0.000 0.479 0.725
```

=====

The following is a DFT calculation (GGA-PBE) of crystalline Tb2Sm5YTm at its relaxed geometry.

Cell and atoms, written as CIF:
```
data_Tb2Sm5YTm
_chemical_formula_sum 'Tb8 Sm20 Y4 Tm4'
_cell_length_a 5.639
_cell_length_b 20.241
_cell_length_c 10.612
_cell_angle_alpha 90.00
_cell_angle_beta 90.00
_cell_angle_gamma 90.00
_space_group_name_H-M_alt 'C m c 21'
_space_group_IT_number 36
_space_group_name_Hall 'C 2c -2'
loop_
_atom_site_label
_atom_site_type_symbol
_atom_site_fract_x
_atom_site_fract_y
_atom_site_fract_z
Tb1 Tb 0.000 0.113 0.000
Tb2 Tb 0.000 0.114 0.576
Sm1 Sm 0.000 0.016 0.282
Sm2 Sm 0.000 0.279 0.576
Sm3 Sm 0.000 0.298 0.971
Sm4 Sm 0.000 0.385 0.285
Sm5 Sm 0.000 0.481 0.006
Y1 Y 0.000 0.409 0.723
Tm1 Tm 0.000 0.199 0.275
```

=====

The following is a DFT calculation (GGA-PBE) of crystalline Tb6Sm2YTm at its relaxed geometry.

Cell and atoms, written as CIF:
```
data_Tb6Sm2YTm
_chemical_formula_sum 'Tb24 Sm8 Y4 Tm4'
_cell_length_a 9.033
_cell_length_b 15.141
_cell_length_c 9.628
_cell_angle_alpha 90.00
_cell_angle_beta 98.11
_cell_angle_gamma 90.00
_space_group_name_H-M_alt 'C 1 2/c 1'
_space_group_IT_number 15
_space_group_name_Hall '-C 2yc'
loop_
_atom_site_label
_atom_site_type_symbol
_atom_site_fract_x
_atom_site_fract_y
_atom_site_fract_z
Tb1 Tb 0.062 0.189 0.444
Tb2 Tb 0.105 0.394 0.619
Tb3 Tb 0.204 0.223 0.812
Sm1 Sm 0.250 0.054 0.043
Y1 Y 0.000 0.020 0.750
Tm1 Tm 0.000 0.409 0.250
```

=====

The following is a DFT calculation (GGA-PBE) of crystalline Tb2Sm2Y6Tm at its relaxed geometry.

Cell and atoms, written as CIF:
```
data_Tb2Sm2Y6Tm
_chemical_formula_sum 'Tb4 Sm4 Y12 Tm2'
_cell_length_a 5.674
_cell_length_b 12.052
_cell_length_c 10.562
_cell_angle_alpha 90.00
_cell_angle_beta 90.00
_cell_angle_gamma 90.00
_space_group_name_H-M_alt 'C m m m'
_space_group_IT_number 65
_space_group_name_Hall '-C 2 2'
loop_
_atom_site_label
_atom_site_type_symbol
_atom_site_fract_x
_atom_site_fract_y
_atom_site_fract_z
Tb1 Tb 0.000 0.207 0.000
Sm1 Sm 0.000 0.133 0.500
Y1 Y 0.000 0.000 0.203
Y2 Y 0.000 0.348 0.293
Tm1 Tm 0.000 0.500 0.000
```

=====

The following is a DFT calculation (GGA-PBE) of crystalline Tb5SmY2Tm at its relaxed geometry.

Cell and atoms, written as CIF:
```
data_Tb5SmY2Tm
_chemical_formula_sum 'Tb20 Sm4 Y8 Tm4'
_cell_length_a 5.629
_cell_length_b 19.826
_cell_length_c 10.579
_cell_angle_alpha 90.00
_cell_angle_beta 90.00
_cell_angle_gamma 90.00
_space_group_name_H-M_alt 'C m c 21'
_space_group_IT_number 36
_space_group_name_Hall 'C 2c -2'
loop_
_atom_site_label
_atom_site_type_symbol
_atom_site_fract_x
_atom_site_fract_y
_atom_site_fract_z
Tb1 Tb 0.000 0.019 0.000
Tb2 Tb 0.000 0.282 0.289
Tb3 Tb 0.000 0.298 0.684
Tb4 Tb 0.000 0.388 0.999
Tb5 Tb 0.000 0.480 0.716
Sm1 Sm 0.000 0.414 0.433
Y1 Y 0.000 0.111 0.712
Y2 Y 0.000 0.114 0.296
Tm1 Tm 0.000 0.200 0.988
```

=====

The following is a DFT calculation (GGA-PBE) of crystalline Tb6Sm2YTm3 at its relaxed geometry.

Cell and atoms, written as CIF:
```
data_Tb6Sm2YTm3
_chemical_formula_sum 'Tb12 Sm4 Y2 Tm6'
_cell_length_a 6.161
_cell_length_b 10.662
_cell_length_c 11.777
_cell_angle_alpha 90.00
_cell_angle_beta 99.99
_cell_angle_gamma 90.00
_space_group_name_H-M_alt 'C 1 2/m 1'
_space_group_IT_number 12
_space_group_name_Hall '-C 2y'
loop_
_atom_site_label
_atom_site_type_symbol
_atom_site_fract_x
_atom_site_fract_y
_atom_site_fract_z
Tb1 Tb 0.248 0.000 0.246
Tb2 Tb 0.248 0.333 0.246
Sm1 Sm 0.000 0.333 0.500
Y1 Y 0.000 0.000 0.500
Tm1 Tm 0.000 0.166 0.000
Tm2 Tm 0.000 0.500 0.000
```

=====

The following is a DFT calculation (GGA-PBE) of crystalline Tb2Sm3Y6Tm at its relaxed geometry.

Cell and atoms, written as CIF:
```
data_Tb2Sm3Y6Tm
_chemical_formula_sum 'Tb4 Sm6 Y12 Tm2'
_cell_length_a 6.199
_cell_length_b 10.729
_cell_length_c 11.836
_cell_angle_alpha 90.00
_cell_angle_beta 100.00
_cell_angle_gamma 90.00
_space_group_name_H-M_alt 'C 1 2/m 1'
_space_group_IT_number 12
_space_group_name_Hall '-C 2y'
loop_
_atom_site_label
_atom_site_type_symbol
_atom_site_fract_x
_atom_site_fract_y
_atom_site_fract_z
Tb1 Tb 0.000 0.167 0.000
Sm1 Sm 0.000 0.000 0.500
Sm2 Sm 0.000 0.333 0.500
Y1 Y 0.249 0.334 0.248
Y2 Y 0.250 0.000 0.248
Tm1 Tm 0.000 0.500 0.000
```

=====

The following is a DFT calculation (GGA-PBE) of crystalline Tb4SmY2Tm2 at its relaxed geometry.

Cell and atoms, written as CIF:
```
data_Tb4SmY2Tm2
_chemical_formula_sum 'Tb8 Sm2 Y4 Tm4'
_cell_length_a 18.625
_cell_length_b 3.586
_cell_length_c 9.532
_cell_angle_alpha 90.00
_cell_angle_beta 115.71
_cell_angle_gamma 90.00
_space_group_name_H-M_alt 'C 1 2/m 1'
_space_group_IT_number 12
_space_group_name_Hall '-C 2y'
loop_
_atom_site_label
_atom_site_type_symbol
_atom_site_fract_x
_atom_site_fract_y
_atom_site_fract_z
Tb1 Tb 0.018 0.000 0.333
Tb2 Tb 0.185 0.500 0.334
Sm1 Sm 0.000 0.500 0.000
Y1 Y 0.148 0.500 0.668
Tm1 Tm 0.168 0.000 0.002
```

=====

The following is a DFT calculation (GGA-PBE) of crystalline Tb2Sm4YTm2 at its relaxed geometry.

Cell and atoms, written as CIF:
```
data_Tb2Sm4YTm2
_chemical_formula_sum 'Tb4 Sm8 Y2 Tm4'
_cell_length_a 15.191
_cell_length_b 5.053
_cell_length_c 7.995
_cell_angle_alpha 90.00
_cell_angle_beta 108.46
_cell_angle_gamma 90.00
_space_group_name_H-M_alt 'C 1 2/m 1'
_space_group_IT_number 12
_space_group_name_Hall '-C 2y'
loop_
_atom_site_label
_atom_site_type_symbol
_atom_site_fract_x
_atom_site_fract_y
_atom_site_fract_z
Tb1 Tb 0.112 0.000 0.168
Sm1 Sm 0.055 0.500 0.832
Sm2 Sm 0.223 0.000 0.832
Y1 Y 0.000 0.000 0.500
Tm1 Tm 0.168 0.500 0.500
```

=====

Which DFT total energy belongs to each record? In order, -4.567; -4.724; -5.531; -4.802; -4.716; -4.702; -5.491; -4.878; -4.740; -5.538; -5.008; -4.817 eV per atom.
Which size of the total moment belongs to each record? In order, 0.0000; 0.0000; 0.0000; 0.0000; 0.0000; 0.0000; 0.0001; 0.0000; 0.0000; 0.0000; 0.0000; 0.0000 μB per atom.
Which V belongs to each record? In order, 682.01; 780.83; 771.54; 1151.53; 1211.12; 1303.69; 722.24; 1180.49; 761.88; 775.18; 573.63; 582.08 Å³ per cell.